Na2Li2Cd | PBE | optimized geometry

## Properties
E above lowest polymorph (meV per atom): 99

Lattice parameters (Å, degrees): 8.389 8.389 3.598 90.00 90.00 90.00
Positions (direct):
Na (0.136, 0.364, 0.000)
Na (0.364, 0.864, 0.000)
Na (0.636, 0.136, 0.000)
Na (0.864, 0.636, 0.000)
Li (0.169, 0.669, 0.500)
Li (0.331, 0.169, 0.500)
Li (0.669, 0.831, 0.500)
Li (0.831, 0.331, 0.500)
Cd (0.000, 0.000, 0.000)
Cd (0.500, 0.500, 0.000)

=====

Cu2SiPt | PBE | optimized geometry

## Properties
E_form (uncorrected) (meV/atom): -208

Lattice parameters (Å, degrees): 3.172 3.172 5.298 90.00 90.00 90.00
Positions (direct):
Cu (0.000, 0.000, 0.000)
Cu (0.500, 0.500, 0.208)
Si (0.500, 0.500, 0.734)
Pt (0.000, 0.000, 0.509)

=====

Number 1: total energy -1.3843 eV per atom, magnetic moment 0.00 μB per cell. Number 2: total energy -5.1222 eV per atom, magnetic moment 0.00 μB per cell.